First-principles (PBE-GGA) data for a geometry-optimized DyHoCdHg structure, as listed in Alexandria. Values from VASP.

Computed properties:
crystal system: cubic
size of the total moment: 0.014 μB per formula unit
energy: -12.0 eV for the cell shown
calculated formation energy: -0.395 eV per atom

Geometry as Quantum ESPRESSO input:
```
&SYSTEM
  ibrav = 0, nat = 4, ntyp = 4
/
ATOMIC_SPECIES
Dy 162.50 Dy.upf
Ho 164.93 Ho.upf
Cd 112.41 Cd.upf
Hg 200.59 Hg.upf
CELL_PARAMETERS angstrom
0.000 3.723 3.723
3.723 0.000 3.723
3.723 3.723 0.000
ATOMIC_POSITIONS angstrom
Dy 0.000 0.000 0.000
Ho 3.723 3.723 3.723
Cd 1.861 1.861 1.861
Hg 5.584 5.584 5.584
```


First-principles (PBE-GGA) data for a geometry-optimized Pm15Dy4Er structure, as listed in Alexandria. Values from VASP.

Computed properties:
crystal system: tetragonal
size of the total moment: 0.000 μB per formula unit
energy: -94.0 eV for the cell shown
calculated formation energy: 0.013 eV per atom

Geometry as Quantum ESPRESSO input:
```
&SYSTEM
  ibrav = 0, nat = 20, ntyp = 3
/
ATOMIC_SPECIES
Pm 145.00 Pm.upf
Dy 162.50 Dy.upf
Er 167.26 Er.upf
CELL_PARAMETERS angstrom
5.133 0.000 0.000
0.000 5.133 0.000
0.000 0.000 25.573
ATOMIC_POSITIONS angstrom
Pm 0.000 0.000 0.000
Pm 0.000 0.000 5.105
Pm 0.000 0.000 10.227
Pm 0.000 0.000 15.346
Pm 0.000 0.000 20.468
Pm 0.000 2.567 2.548
Pm 0.000 2.567 7.666
Pm 0.000 2.567 12.786
Pm 0.000 2.567 17.907
Pm 0.000 2.567 23.025
Pm 2.567 0.000 2.548
Pm 2.567 0.000 7.666
Pm 2.567 0.000 12.786
Pm 2.567 0.000 17.907
Pm 2.567 0.000 23.025
Dy 2.567 2.567 5.107
Dy 2.567 2.567 10.226
Dy 2.567 2.567 15.347
Dy 2.567 2.567 20.466
Er 2.567 2.567 0.000
```


First-principles (PBE-GGA) data for a geometry-optimized LaZnCl structure, as listed in Alexandria. Values from VASP.

Computed properties:
ΔE to the lowest computed polymorph: 383.2 meV per atom
crystal system: trigonal
size of the total moment: 0.000 μB per formula unit
energy: -10.6 eV for the cell shown

Geometry as Quantum ESPRESSO input:
```
&SYSTEM
  ibrav = 0, nat = 3, ntyp = 3
/
ATOMIC_SPECIES
La 138.91 La.upf
Zn 65.41 Zn.upf
Cl 35.45 Cl.upf
CELL_PARAMETERS angstrom
3.923 0.000 0.000
-1.961 3.397 0.000
0.000 0.000 7.538
ATOMIC_POSITIONS angstrom
La 0.000 0.000 0.000
Zn 1.961 1.132 2.110
Cl 0.000 2.265 5.673
```